# 1
Computed, not measured: a geometry-optimized MnIr2Ru2 structure at the PBE-GGA level of DFT. Values from VASP.

Cell and atoms, written as Quantum ESPRESSO input:
```
&SYSTEM
  ibrav = 0, nat = 10, ntyp = 3
/
ATOMIC_SPECIES
Mn 54.94 Mn.upf
Ir 192.22 Ir.upf
Ru 101.07 Ru.upf
CELL_PARAMETERS angstrom
0.000 4.187 8.517
2.247 0.000 8.517
2.247 4.187 0.000
ATOMIC_POSITIONS crystal
Mn 0.125 0.125 0.125
Mn 0.875 0.875 0.875
Ir 0.212 0.538 0.212
Ir 0.462 0.788 0.462
Ir 0.538 0.212 0.538
Ir 0.788 0.462 0.788
Ru 0.000 0.000 0.000
Ru 0.000 0.000 0.500
Ru 0.000 0.500 0.000
Ru 0.500 0.000 0.000
```

For the volume, the calculation gives 160.3 Å³/cell. The formation energy is 0.752 eV/atom.


# 2
Computed, not measured: a geometry-optimized Ba12Cd3Rh5 structure at the PBE-GGA level of DFT. Values from VASP.

Cell and atoms, written as Quantum ESPRESSO input:
```
&SYSTEM
  ibrav = 0, nat = 80, ntyp = 3
/
ATOMIC_SPECIES
Ba 137.33 Ba.upf
Cd 112.41 Cd.upf
Rh 102.91 Rh.upf
CELL_PARAMETERS angstrom
-9.620 9.620 9.620
9.620 -9.620 9.620
9.620 9.620 -9.620
ATOMIC_POSITIONS crystal
Ba 0.023 0.203 0.116
Ba 0.023 0.320 0.908
Ba 0.088 0.703 0.680
Ba 0.088 0.884 0.408
Ba 0.092 0.616 0.412
Ba 0.092 0.977 0.680
Ba 0.116 0.023 0.203
Ba 0.116 0.592 0.912
Ba 0.180 0.203 0.588
Ba 0.180 0.477 0.592
Ba 0.203 0.116 0.023
Ba 0.203 0.588 0.180
Ba 0.297 0.320 0.912
Ba 0.297 0.477 0.384
Ba 0.320 0.908 0.023
Ba 0.320 0.912 0.297
Ba 0.384 0.297 0.477
Ba 0.384 0.588 0.908
Ba 0.408 0.088 0.884
Ba 0.408 0.820 0.523
Ba 0.412 0.092 0.616
Ba 0.412 0.820 0.797
Ba 0.477 0.384 0.297
Ba 0.477 0.592 0.180
Ba 0.523 0.408 0.820
Ba 0.523 0.616 0.703
Ba 0.588 0.180 0.203
Ba 0.588 0.908 0.384
Ba 0.592 0.180 0.477
Ba 0.592 0.912 0.116
Ba 0.616 0.412 0.092
Ba 0.616 0.703 0.523
Ba 0.680 0.088 0.703
Ba 0.680 0.092 0.977
Ba 0.703 0.523 0.616
Ba 0.703 0.680 0.088
Ba 0.797 0.412 0.820
Ba 0.797 0.884 0.977
Ba 0.820 0.523 0.408
Ba 0.820 0.797 0.412
Ba 0.884 0.408 0.088
Ba 0.884 0.977 0.797
Ba 0.908 0.023 0.320
Ba 0.908 0.384 0.588
Ba 0.912 0.116 0.592
Ba 0.912 0.297 0.320
Ba 0.977 0.680 0.092
Ba 0.977 0.797 0.884
Cd 0.125 0.250 0.375
Cd 0.125 0.375 0.750
Cd 0.250 0.375 0.125
Cd 0.250 0.875 0.625
Cd 0.375 0.125 0.250
Cd 0.375 0.750 0.125
Cd 0.625 0.250 0.875
Cd 0.625 0.875 0.750
Cd 0.750 0.125 0.375
Cd 0.750 0.625 0.875
Cd 0.875 0.625 0.250
Cd 0.875 0.750 0.625
Rh 0.000 0.000 0.000
Rh 0.000 0.000 0.500
Rh 0.000 0.500 0.000
Rh 0.000 0.500 0.500
Rh 0.125 0.750 0.875
Rh 0.125 0.875 0.250
Rh 0.250 0.125 0.875
Rh 0.250 0.625 0.375
Rh 0.375 0.250 0.625
Rh 0.375 0.625 0.750
Rh 0.500 0.000 0.000
Rh 0.500 0.000 0.500
Rh 0.500 0.500 0.000
Rh 0.500 0.500 0.500
Rh 0.625 0.375 0.250
Rh 0.625 0.750 0.375
Rh 0.750 0.375 0.625
Rh 0.750 0.875 0.125
Rh 0.875 0.125 0.750
Rh 0.875 0.250 0.125
```

For the volume, the calculation gives 3561.3 Å³/cell. The formation energy is -0.047 eV/atom.


# 3
Computed, not measured: a geometry-optimized RbZrTe2Pd structure at the PBE-GGA level of DFT. Values from VASP.

Cell and atoms, written as Quantum ESPRESSO input:
```
&SYSTEM
  ibrav = 0, nat = 10, ntyp = 4
/
ATOMIC_SPECIES
Rb 85.47 Rb.upf
Zr 91.22 Zr.upf
Te 127.60 Te.upf
Pd 106.42 Pd.upf
CELL_PARAMETERS angstrom
9.405 0.000 0.000
0.000 5.442 0.000
-2.210 0.000 6.072
ATOMIC_POSITIONS crystal
Rb 0.000 0.227 0.250
Rb 0.000 0.773 0.750
Zr 0.500 0.499 0.750
Zr 0.500 0.501 0.250
Te 0.262 0.283 0.882
Te 0.262 0.717 0.382
Te 0.738 0.283 0.618
Te 0.738 0.717 0.118
Pd 0.500 0.000 0.000
Pd 0.500 0.000 0.500
```

For the volume, the calculation gives 310.8 Å³/cell. As for the formation energy (no corrections): -0.752 eV/atom.


# 4
Computed, not measured: a geometry-optimized NaSn2Pt3 structure at the PBE-GGA level of DFT. Values from VASP.

Cell and atoms, written as Quantum ESPRESSO input:
```
&SYSTEM
  ibrav = 0, nat = 12, ntyp = 3
/
ATOMIC_SPECIES
Na 22.99 Na.upf
Sn 118.71 Sn.upf
Pt 195.08 Pt.upf
CELL_PARAMETERS angstrom
5.754 0.000 0.000
0.000 9.933 0.000
0.000 0.000 4.350
ATOMIC_POSITIONS crystal
Na 0.000 0.000 0.000
Na 0.500 0.500 0.000
Sn 0.000 0.333 0.000
Sn 0.000 0.667 0.000
Sn 0.500 0.167 0.000
Sn 0.500 0.833 0.000
Pt 0.000 0.500 0.500
Pt 0.250 0.250 0.500
Pt 0.250 0.750 0.500
Pt 0.500 0.000 0.500
Pt 0.750 0.250 0.500
Pt 0.750 0.750 0.500
```

For the volume, the calculation gives 248.6 Å³/cell. The formation energy is -0.422 eV/atom.